Ir2RuPb: optimized geometry, PBE.

* energy of formation from the pure elements: 0.425 eV/atom
* D(E_F): 2.5 states/eV per cell

Unit cell a=4.838 b=4.838 c=4.838 alpha=129.77 beta=129.77 gamma=73.78
Fractional positions:
Pb 0.500 0.500 0.000
Ru 0.750 0.250 0.500
Ir 0.000 0.000 0.000
Ir 0.250 0.750 0.500